--- i ---
Entry from Alexandria via LeMat-Bulk: a relaxed structure of Mn2AlO4 (GGA+U).

The density of states at the Fermi level is 2.09 states/eV/f.u. The value obtained for the magnetic moment is 0.4286 μB/atom.

It has space group C2/m (No. 12), with a = 10.527 Å, b = 2.898 Å, c = 5.009 Å, α = 90.00°, β = 117.92° and γ = 90.00°. Symmetry generates all atoms from Mn at (0.219, 0.000, 0.205), Al at (0.000, 0.500, 0.500), O at (0.123, 0.500, 0.920) and O at (0.125, 0.000, 0.483).

--- ii ---
Entry from Alexandria via LeMat-Bulk: a relaxed structure of Mn2AlO4 (GGA+U).

The value obtained for the magnetic moment is 1.2857 μB/atom.

It has space group Pnma (No. 62), with a = 10.435 Å, b = 6.289 Å, c = 4.970 Å, α = 90.00°, β = 90.00° and γ = 90.00°. Symmetry generates all atoms from Mn at (0.000, 0.000, 0.000), Mn at (0.222, 0.250, 0.470), Al at (0.089, 0.750, 0.421), O at (0.064, 0.250, 0.754), O at (0.094, 0.750, 0.769) and O at (0.150, 0.521, 0.247).

--- iii ---
Entry from Alexandria via LeMat-Bulk: a relaxed structure of Mn2AlO4 (GGA+U).

The density of states at the Fermi level is 4.00 states/eV/f.u. The value obtained for the magnetic moment is 1.2857 μB/atom.

It has space group Fd-3m (No. 227, origin choice 2), with a = 8.501 Å, b = 8.501 Å, c = 8.501 Å, α = 90.00°, β = 90.00° and γ = 90.00°. Symmetry generates all atoms from Mn at (0.000, 0.000, 0.000), Al at (0.125, 0.125, 0.625) and O at (0.001, 0.001, 0.749).

--- iv ---
Entry from Alexandria via LeMat-Bulk: a relaxed structure of Mn2AlO4 (GGA+U).

The density of states at the Fermi level is 0.37 states/eV/f.u. The value obtained for the magnetic moment is 0.9999 μB/atom.

It has space group I4_1/a (No. 88, origin choice 2), with a = 5.297 Å, b = 5.297 Å, c = 10.226 Å, α = 90.00°, β = 90.00° and γ = 90.00°. Symmetry generates all atoms from Mn at (0.000, 0.000, 0.000), Al at (0.000, 0.250, 0.625) and O at (0.187, 0.046, 0.407).

Taking the most stable structure as the zero point, the relative energies in eV/atom are i 0.702; ii 0.000; iii 0.051; iv 0.389.

--- i ---
Entry from Alexandria via LeMat-Bulk: a relaxed structure of MnAl2O2 (GGA+U).

The density of states at the Fermi level is 1.97 states/eV/f.u. The value obtained for the magnetic moment is 0.8670 μB/atom.

It has space group I4/mmm (No. 139), with a = 3.923 Å, b = 3.923 Å, c = 9.371 Å, α = 90.00°, β = 90.00° and γ = 90.00°. Symmetry generates all atoms from Mn at (0.000, 0.000, 0.000), Al at (0.000, 0.500, 0.250) and O at (0.000, 0.000, 0.253).

--- ii ---
Entry from Alexandria via LeMat-Bulk: a relaxed structure of MnAl2O2 (GGA+U).

The density of states at the Fermi level is 1.04 states/eV/f.u. The value obtained for the magnetic moment is 0.9441 μB/atom.

It has space group P4/mbm (No. 127), with a = 6.187 Å, b = 6.187 Å, c = 3.578 Å, α = 90.00°, β = 90.00° and γ = 90.00°. Symmetry generates all atoms from Mn at (0.000, 0.000, 0.000), Al at (0.152, 0.348, 0.500) and O at (0.197, 0.303, 0.000).

Taking the most stable structure as the zero point, the relative energies in eV/atom are i 0.351; ii 0.000.